The following is a DFT calculation (PBE) of BeAuO2F after structural relaxation.

Computed properties:
As for the symmetry: P4/mmm (123). The value obtained for the formation energy (no corrections) is -0.80 eV/atom.

The structure in extended XYZ format:
```
5
Lattice="3.811 0.000 0.000 0.000 3.811 0.000 0.000 0.000 3.215" Properties=species:S:1:pos:R:3 pbc="T T T"
Be 0.000 0.000 0.000
Au 1.905 1.905 1.607
O 1.905 0.000 0.000
O 0.000 1.905 0.000
F 0.000 0.000 1.607
```